# 1
5
Lattice="-4.296 -2.185 1.250 0.830 -3.564 -3.376 1.631 -1.857 2.361" Properties=species:S:1:pos:R:3 comment="PBE AlNiSe2N, optimized geometry" n_ef_per_ev_atom=0.5685 total_energy_ev_per_atom=-4.56 pbc="T T T"
N 0.815 -0.928 1.180
Al -0.918 -3.803 0.117
Ni 0.000 0.000 0.000
Se -2.148 -1.092 0.625
Se 0.415 -1.782 -1.688


# 2
5
Lattice="-1.202 -3.500 -3.292 2.920 1.458 -2.617 3.337 -3.050 2.024" Properties=species:S:1:pos:R:3 comment="PBE SrAlNi2N, optimized geometry" n_ef_per_ev_atom=1.3179 total_energy_ev_per_atom=-3.22 pbc="T T T"
N 1.460 0.729 -1.308
Ni 1.669 -1.525 1.012
Sr 0.000 0.000 0.000
Al 2.527 -2.546 -1.943
Ni -0.601 -1.750 -1.646


# 3
5
Lattice="-3.510 1.800 2.104 -0.892 -3.403 1.425 2.562 0.823 3.570" Properties=species:S:1:pos:R:3 comment="PBE SrAlNi2N, optimized geometry" n_ef_per_ev_atom=0.3879 total_energy_ev_per_atom=-4.86 pbc="T T T"
Sr -0.920 -0.390 3.549
Al -0.446 -1.702 0.712
Ni -1.755 0.900 1.052
N 0.000 0.000 0.000
Ni 1.281 0.412 1.785


# 4
5
Lattice="5.522 0.000 0.000 0.000 5.522 0.000 0.000 0.000 3.395" Properties=species:S:1:pos:R:3 comment="PBE AlNiTe2N, optimized geometry" n_ef_per_ev_atom=0.8166 total_energy_ev_per_atom=-4.27 pbc="T T T"
Te 0.000 2.761 0.000
N 0.000 0.000 1.698
Al 0.000 0.000 0.000
Ni 2.761 2.761 1.698
Te 2.761 0.000 0.000


# 5
5
Lattice="5.396 0.000 0.000 0.000 5.396 0.000 0.000 0.000 3.438" Properties=species:S:1:pos:R:3 comment="PBE AlNiTe2N, optimized geometry" n_ef_per_ev_atom=0.6446 total_energy_ev_per_atom=-4.42 pbc="T T T"
Al 2.698 2.698 1.719
N 0.000 0.000 1.719
Ni 0.000 0.000 0.000
Te 2.698 0.000 0.000
Te 0.000 2.698 0.000


# 6
28
Lattice="-4.231 6.417 2.371 -6.158 -0.902 5.096 0.620 2.654 7.568" Properties=species:S:1:pos:R:3 comment="PBE Ti3Al2NiN, optimized geometry" n_ef_per_ev_atom=0.6869 total_energy_ev_per_atom=-7.42 pbc="T T T"
Ti -4.473 5.553 4.278
Al -6.116 3.108 7.961
Ti -4.083 7.224 9.042
Ni -6.416 3.778 5.613
Ti -1.419 3.184 7.549
Al -6.734 4.676 11.736
Ti -5.686 0.945 5.993
Ni -6.106 5.105 9.397
Ti -1.971 3.889 4.656
Ti -4.482 2.572 3.740
Ti -2.684 1.178 5.665
Al -8.137 6.803 12.522
Ti -0.403 1.512 3.778
N -1.221 1.021 1.879
Al -5.478 5.534 7.058
Ti -2.200 2.906 1.852
Ti -8.350 4.985 7.486
Ni -3.027 5.556 6.849
Al -3.870 4.287 8.780
Al -8.342 5.924 10.014
N -4.300 0.570 4.427
Ti -2.914 0.195 2.862
N -3.337 4.230 3.065
N -0.911 2.348 5.663
Ni -3.990 1.897 8.211
Ti -5.296 2.616 10.758
Al -6.095 7.102 10.833
Al -4.075 3.407 6.272


# 7
18
Lattice="3.423 0.000 0.000 -1.711 6.947 0.000 0.000 0.000 10.283" Properties=species:S:1:pos:R:3 comment="PBE Pm2NpAlN5, optimized geometry" n_ef_per_ev_atom=0.2102 total_energy_ev_per_atom=-8.76 pbc="T T T"
N 1.711 3.021 1.447
Np 0.000 2.969 0.101
N 0.000 3.926 6.588
Pm 0.000 1.467 7.161
Pm 1.711 5.211 8.223
N 0.000 0.776 0.358
Al 1.711 0.201 9.972
Al 0.000 6.745 4.831
Pm 0.000 1.735 3.082
N 0.000 4.147 3.924
N 0.000 5.144 0.049
N 1.711 0.024 2.945
N 0.000 6.922 8.086
N 1.711 2.800 9.065
N 1.711 6.170 5.499
Np 1.711 3.978 5.242
N 1.711 1.803 5.190
Pm 1.711 5.480 2.019


# 8
18
Lattice="3.478 0.000 0.000 -1.739 7.006 0.000 0.000 0.000 10.537" Properties=species:S:1:pos:R:3 comment="PBE Pr2NpAlN5, optimized geometry" n_ef_per_ev_atom=0.2086 total_energy_ev_per_atom=-8.72 pbc="T T T"
N 0.000 4.975 0.050
Al 0.000 6.393 4.720
N 1.739 3.034 1.564
N 1.739 0.071 2.994
N 1.739 2.031 5.319
Pr 0.000 1.427 7.207
N 1.739 6.271 5.556
N 0.000 0.736 0.287
Pr 1.739 5.209 8.582
N 1.739 2.628 9.411
N 0.000 4.378 4.143
N 0.000 3.972 6.833
Pr 1.739 5.579 1.939
Np 1.739 4.083 5.478
N 0.000 6.935 8.263
Np 0.000 2.923 0.209
Al 1.739 0.614 9.988
Pr 0.000 1.797 3.313


# 9
15
Lattice="6.490 0.000 0.000 -3.245 5.620 -0.019 0.000 -3.728 5.461" Properties=species:S:1:pos:R:3 comment="PBE Zr3Np3AlN8, optimized geometry" n_ef_per_ev_atom=0.9602 total_energy_ev_per_atom=-10.23 pbc="T T T"
N -1.744 2.894 3.955
Np 0.000 0.000 0.000
N 4.989 -1.001 1.487
N 1.501 -1.002 1.487
Np 1.622 2.810 -0.010
N 0.000 -0.126 3.966
N 1.744 2.894 3.955
Zr -1.622 0.946 2.721
Al 0.000 -1.864 2.731
N 3.245 2.018 1.476
Zr 3.245 -1.864 2.731
Zr 1.622 0.946 2.721
Np -1.622 2.810 -0.010
N 0.000 1.878 1.440
N 3.245 0.014 4.001


# 10
8
Lattice="-3.528 -2.028 -1.793 2.229 -3.847 -0.035 -2.194 -3.870 3.181" Properties=species:S:1:pos:R:3 comment="PBE Al2NO, optimized geometry" n_ef_per_ev_atom=0.3295 total_energy_ev_per_atom=-6.69 pbc="T T T"
Al -2.107 -5.150 1.700
N -0.650 -2.938 -0.914
Al -2.808 -7.998 0.787
O 0.000 0.000 0.000
N -0.307 -5.327 1.116
Al -2.434 -2.692 -0.309
O -3.186 -4.418 0.237
Al 0.363 -3.649 0.528


# 11
5
Lattice="-1.588 2.131 2.595 -2.793 0.755 -2.329 -1.864 -2.947 1.280" Properties=species:S:1:pos:R:3 comment="PBE AlNO3, optimized geometry" n_ef_per_ev_atom=1.3080 total_energy_ev_per_atom=-5.11 pbc="T T T"
O -2.328 -1.096 -0.525
O -2.190 1.443 0.133
O -1.726 -0.408 1.937
N 0.000 0.000 0.000
Al -3.122 -0.030 0.773


# 12
41
Lattice="5.712 0.001 0.001 0.059 7.998 -0.003 2.847 3.900 8.451" Properties=species:S:1:pos:R:3 comment="PBE Al17N3O21, optimized geometry" n_ef_per_ev_atom=0.0000 total_energy_ev_per_atom=-7.43 pbc="T T T"
O 1.472 1.086 0.141
Al 5.649 4.978 4.314
O 7.276 8.826 8.449
O 5.801 6.911 1.469
Al 4.317 6.967 2.825
O 1.405 5.039 2.763
N 4.204 8.869 2.816
O 5.692 3.019 4.314
O 2.844 6.986 4.129
Al 1.461 6.965 2.812
Al 5.797 8.024 5.651
O 5.746 3.049 1.297
Al 4.330 6.810 8.373
O 2.850 6.999 1.429
Al 0.033 0.066 0.046
Al 7.084 2.956 5.688
Al 7.116 6.820 8.364
Al 2.825 5.869 5.578
O 2.875 6.928 7.102
N 4.424 5.063 2.817
Al 4.298 3.019 5.713
O 1.525 8.887 2.791
Al 2.935 4.006 2.833
O 7.111 4.830 5.481
O 5.780 6.905 4.174
O 2.866 2.951 1.291
Al 5.643 1.928 2.805
N 7.313 9.033 5.603
Al 2.851 8.914 6.988
Al 5.706 4.943 1.455
O 4.303 1.089 0.070
O 5.734 10.814 6.947
O 5.718 7.062 7.162
O 2.871 2.919 4.310
Al 5.721 9.825 8.403
Al 2.920 0.950 1.332
Al 2.898 9.000 4.199
O 4.239 9.014 5.661
O 4.276 4.863 5.575
O 2.927 10.906 7.005
O 4.163 8.818 8.444


# 13
4
Lattice="0.000 2.661 2.661 2.661 0.000 2.661 2.661 2.661 0.000" Properties=species:S:1:pos:R:3 comment="PBE Al2NO, optimized geometry" n_ef_per_ev_atom=0.2389 total_energy_ev_per_atom=-5.51 pbc="T T T"
N 0.000 0.000 0.000
Al 3.991 3.991 3.991
O 2.661 2.661 2.661
Al 1.330 1.330 1.330


# 14
6
Lattice="-0.975 1.086 2.772 2.049 -3.334 2.027 3.360 3.731 -2.050" Properties=species:S:1:pos:R:3 comment="PBE Al3N2O, optimized geometry" n_ef_per_ev_atom=0.0759 total_energy_ev_per_atom=-6.95 pbc="T T T"
Al 1.894 -0.228 2.525
O 0.024 -0.290 1.892
Al 2.550 1.695 0.233
N 2.799 -1.641 1.628
N 2.646 1.478 2.122
Al 2.038 -3.316 2.016


# 15
5
Lattice="3.833 0.000 0.000 0.000 3.833 0.000 0.000 0.000 3.674" Properties=species:S:1:pos:R:3 comment="PBE AlN2O2, optimized geometry" n_ef_per_ev_atom=0.7904 total_energy_ev_per_atom=-4.83 pbc="T T T"
N 0.000 1.917 0.000
O 0.000 0.000 1.837
N 1.917 0.000 0.000
Al 0.000 0.000 0.000
O 1.917 1.917 1.837


# 16
30
Lattice="5.301 0.000 0.000 -2.650 4.591 0.000 0.000 0.000 11.663" Properties=species:S:1:pos:R:3 comment="PBE Al6NO8, optimized geometry" total_energy_ev_per_atom=-7.29 pbc="T T T"
O -0.885 1.532 3.231
O 1.766 3.059 3.231
O -1.766 3.059 1.349
Al -1.750 3.031 11.038
Al -0.900 1.559 5.206
O 3.532 0.000 9.062
O 1.766 3.059 7.181
Al 0.000 3.061 2.290
Al 2.650 1.530 8.122
N 0.000 0.000 5.206
Al 0.000 3.061 8.122
O 3.532 0.000 1.349
O 0.000 3.061 5.206
O 1.769 0.000 7.181
O -1.766 3.059 9.062
Al 1.750 3.031 5.206
O 2.650 1.530 5.206
Al 0.900 1.559 11.038
O 1.769 0.000 3.231
O 0.885 1.532 9.062
O 0.000 3.061 11.037
N 0.000 0.000 11.037
Al 3.500 0.000 11.038
O 2.650 1.530 11.037
Al 2.650 1.530 2.290
Al 0.000 0.000 2.290
Al 1.801 0.000 5.206
O -0.885 1.532 7.181
O 0.885 1.532 1.349
Al 0.000 0.000 8.122


# 17
5
Lattice="-2.615 1.989 -1.248 -2.214 -1.467 2.301 0.777 2.484 2.331" Properties=species:S:1:pos:R:3 comment="PBE AlN2O2, optimized geometry" n_ef_per_ev_atom=0.5342 total_energy_ev_per_atom=-4.43 pbc="T T T"
O 0.388 1.242 1.165
O 0.000 0.000 0.000
N -1.307 0.994 -0.624
N -1.107 -0.734 1.151
Al -2.026 1.503 1.692


# 18
5
Lattice="3.472 0.000 0.000 0.000 3.472 0.000 0.000 0.000 5.176" Properties=species:S:1:pos:R:3 comment="PBE AlN2O2, optimized geometry" n_ef_per_ev_atom=0.1731 total_energy_ev_per_atom=-5.21 pbc="T T T"
O 0.000 1.736 0.000
O 1.736 0.000 0.000
N 1.736 1.736 2.588
Al 0.000 0.000 0.000
N 0.000 0.000 2.588


# 19
4
Lattice="3.146 -0.001 0.001 0.001 3.146 -0.001 0.000 0.001 4.441" Properties=species:S:1:pos:R:3 comment="PBE Al2NO, optimized geometry" n_ef_per_ev_atom=0.3458 total_energy_ev_per_atom=-6.69 pbc="T T T"
Al 0.840 2.504 4.224
N 0.840 0.931 0.865
O 2.414 2.504 3.086
Al 2.413 0.931 1.947


# 20
5
Lattice="3.853 0.000 0.000 0.000 3.853 0.000 0.000 0.000 3.970" Properties=species:S:1:pos:R:3 comment="PBE AlOsN2O, optimized geometry" n_ef_per_ev_atom=0.6666 total_energy_ev_per_atom=-6.92 pbc="T T T"
Al 1.926 1.926 1.985
N 0.000 1.926 0.000
N 1.926 0.000 0.000
Os 0.000 0.000 0.000
O 0.000 0.000 1.985